No. 1
Computed, not measured: ZrZn2Ru after structural relaxation at the PBE-GGA level of DFT.

* ΔH_f (0 K): -0.22 eV per atom

Cell lengths 4.927, 4.927, 4.927 Å; angles 135.82, 128.13, 70.45 degrees
Element x y z (fractional)
Zn (0.008, 0.008, 0.000)
Ru (0.754, 0.254, 0.500)
Zn (0.237, 0.737, 0.500)
Zr (0.501, 0.501, 0.000)

---

No. 2
Computed, not measured: La2Nd5DyTm after structural relaxation at the PBE-GGA level of DFT.

* ΔH_f (0 K): 0.12 eV per atom

Cell lengths 5.737, 10.596, 10.843 Å; angles 90.00, 90.00, 105.71 degrees
Element x y z (fractional)
Dy (0.407, 0.814, 0.465)
Nd (0.015, 0.031, 0.019)
La (0.886, 0.772, 0.235)
Nd (0.278, 0.555, 0.313)
Nd (0.618, 0.235, 0.520)
La (0.114, 0.228, 0.735)
La (0.883, 0.766, 0.815)
Nd (0.985, 0.969, 0.519)
Nd (0.483, 0.966, 0.743)
Nd (0.295, 0.590, 0.703)
La (0.117, 0.234, 0.315)
Nd (0.705, 0.410, 0.203)
Tm (0.800, 0.601, 0.510)
Tm (0.200, 0.399, 0.010)
Nd (0.382, 0.765, 0.020)
Dy (0.593, 0.186, 0.965)
Nd (0.722, 0.445, 0.813)
Nd (0.517, 0.034, 0.243)

---

No. 3
Computed, not measured: Na2Sr8Ag after structural relaxation at the PBE-GGA level of DFT.

* ΔH_f (0 K): 0.00 eV per atom

Cell lengths 6.383, 8.108, 11.078 Å; angles 108.34, 106.74, 90.00 degrees
Element x y z (fractional)
Sr (0.983, 0.217, 0.966)
Na (0.818, 0.276, 0.636)
Sr (0.202, 0.290, 0.404)
Sr (0.410, 0.582, 0.820)
Sr (0.590, 0.418, 0.180)
Sr (0.644, 0.956, 0.287)
Sr (0.356, 0.044, 0.713)
Sr (0.017, 0.783, 0.034)
Na (0.182, 0.724, 0.364)
Ag (0.500, 0.000, 0.000)
Sr (0.798, 0.710, 0.596)

---

No. 4
Computed, not measured: Ac3Te3Se after structural relaxation at the PBE-GGA level of DFT.

* relative energy among the computed polymorphs: 136 meV per atom
* raw formation energy: -1472.7 meV/atom

Cell lengths 8.346, 8.346, 8.513 Å; angles 90.61, 90.61, 110.66 degrees
Element x y z (fractional)
Ac (0.199, 0.506, 0.298)
Te (0.222, 0.778, 0.000)
Te (0.367, 0.367, 0.633)
Se (0.247, 0.247, 0.084)
Te (0.778, 0.222, 0.000)
Te (0.839, 0.161, 0.500)
Ac (0.506, 0.199, 0.298)
Ac (0.062, 0.062, 0.789)
Te (0.161, 0.839, 0.500)
Ac (0.801, 0.494, 0.702)
Ac (0.938, 0.938, 0.211)
Te (0.633, 0.633, 0.367)
Ac (0.494, 0.801, 0.702)
Se (0.753, 0.753, 0.916)

---

No. 5
Computed, not measured: Pu2BiRh after structural relaxation at the PBE-GGA level of DFT.

* relative energy among the computed polymorphs: 56 meV per atom
* ΔH_f (0 K): -0.28 eV per atom

Cell lengths 4.055, 4.055, 7.991 Å; angles 75.30, 75.30, 60.00 degrees
Each line ends with the local moment (μB).
Element x y z (fractional)
Pu (0.735, 0.735, 0.796)  5.19
Rh (0.000, 0.000, 0.000)  -0.40
Bi (0.500, 0.500, 0.500)  -0.12
Pu (0.265, 0.265, 0.204)  5.19

---

No. 6
Computed, not measured: NdTm2Tl3Se6 after structural relaxation at the PBE-GGA level of DFT.

* raw formation energy: -1372.4 meV/atom

Cell lengths 7.275, 7.275, 8.141 Å; angles 98.57, 98.57, 119.98 degrees
Element x y z (fractional)
Se (0.277, 0.277, 0.797)
Se (0.723, 0.723, 0.203)
Se (0.068, 0.413, 0.205)
Se (0.413, 0.068, 0.205)
Tl (0.164, 0.836, 0.500)
Se (0.932, 0.587, 0.795)
Tm (0.333, 0.667, 0.000)
Nd (0.000, 0.000, 0.000)
Tl (0.836, 0.164, 0.500)
Tl (0.500, 0.500, 0.500)
Se (0.587, 0.932, 0.795)
Tm (0.667, 0.333, 0.000)